La6Si2PtCl3 | PBE | optimized geometry

As for the total magnetic moment: 0.000 μB/f.u. Its calculated total energy is -5.630 eV/atom. The uncorrected formation energy comes out at -1.30 eV/atom.

The space group is C2/m (No. 12) and the conventional cell measures 18.632, 4.305 and 8.685 Å, with angles of 90.00, 101.43 and 90.00 degrees. Symmetry generates all atoms from La at (0.003, 0.000, 0.238), La at (0.161, 0.500, 0.097), La at (0.171, 0.500, 0.576), Si at (0.165, 0.000, 0.337), Pt at (0.000, 0.500, 0.000), Cl at (0.000, 0.500, 0.500) and Cl at (0.171, 0.000, 0.838).


LaSb3C | PBE | optimized geometry

As for the total magnetic moment: 0.000 μB/f.u. Its calculated total energy is -3.252 eV/atom. The calculation puts the energy above the most stable polymorph in this dataset at 1735 meV per atom. The uncorrected formation energy comes out at 2.05 eV/atom.

The space group is Pm-3m (No. 221) and the conventional cell measures 6.036, 6.036 and 6.036 Å, with angles of 90.00, 90.00 and 90.00 degrees. Symmetry generates all atoms from La at (0.000, 0.000, 0.000), Sb at (0.000, 0.000, 0.500) and C at (0.500, 0.500, 0.500).


CuMoW | PBE | optimized geometry

As for the total magnetic moment: 0.000 μB/f.u. Its calculated total energy is -9.005 eV/atom. The calculation puts the energy above the most stable polymorph in this dataset at 57 meV per atom. The value obtained for the formation energy is 289 meV per atom.

The space group is I4mm (No. 107) and the conventional cell measures 2.652, 2.652 and 12.642 Å, with angles of 90.00, 90.00 and 90.00 degrees. Symmetry generates all atoms from Cu at (0.000, 0.000, 0.000), Mo at (0.000, 0.000, 0.341) and W at (0.000, 0.000, 0.658).


K2AlAu2 | PBE | optimized geometry

As for the total magnetic moment: 0.000 μB/f.u. Its calculated total energy is -2.766 eV/atom. The calculation puts the energy above the most stable polymorph in this dataset at 0 meV per atom. The value obtained for the formation energy is -267 meV per atom.

The space group is Immm (No. 71) and the conventional cell measures 4.137, 6.098 and 11.213 Å, with angles of 90.00, 90.00 and 90.00 degrees. Symmetry generates all atoms from K at (0.000, 0.000, 0.203), Al at (0.000, 0.500, 0.000) and Au at (0.000, 0.255, 0.500).


Sc2NbPt5Rh | PBE | optimized geometry

As for the total magnetic moment: 0.001 μB/f.u. Its calculated total energy is -7.023 eV/atom. The value obtained for the formation energy is -324 meV per atom.

The space group is I4/mcm (No. 140) and the conventional cell measures 7.657, 7.657 and 10.848 Å, with angles of 90.00, 90.00 and 90.00 degrees. Symmetry generates all atoms from Sc at (0.116, 0.384, 0.000), Nb at (0.000, 0.000, 0.250), Pt at (0.000, 0.000, 0.000), Pt at (0.205, 0.295, 0.366) and Rh at (0.000, 0.500, 0.250).


TaICl3 | PBE | optimized geometry

As for the total magnetic moment: 0.000 μB/f.u. Its calculated total energy is -4.853 eV/atom. The calculation puts the energy above the most stable polymorph in this dataset at 0 meV per atom. The uncorrected formation energy comes out at -1.06 eV/atom.

The space group is P1 (No. 1) and the conventional cell measures 6.867, 7.719 and 8.030 Å, with angles of 67.38, 84.31 and 82.26 degrees. Symmetry generates all atoms from Ta at (0.000, 0.000, 0.000), Ta at (0.356, 0.840, 0.188), I at (0.124, 0.158, 0.241), I at (0.432, 0.685, 0.543), Cl at (0.047, 0.699, 0.271), Cl at (0.328, 0.046, 0.860), Cl at (0.506, 0.606, 0.097), Cl at (0.655, 0.018, 0.147), Cl at (0.904, 0.305, 0.804) and Cl at (0.935, 0.826, 0.842).


Sm4Al3Ag | PBE | optimized geometry

As for the total magnetic moment: 0.000 μB/f.u. Its calculated total energy is -4.441 eV/atom. The calculation puts the energy above the most stable polymorph in this dataset at 28 meV per atom. The value obtained for the formation energy is -321 meV per atom.

The space group is Pmm2 (No. 25) and the conventional cell measures 3.710, 4.624 and 12.024 Å, with angles of 90.00, 90.00 and 90.00 degrees. Symmetry generates all atoms from Sm at (0.000, 0.000, 0.000), Sm at (0.000, 0.500, 0.305), Sm at (0.500, 0.000, 0.500), Sm at (0.500, 0.500, 0.810), Al at (0.000, 0.000, 0.720), Al at (0.000, 0.500, 0.588), Al at (0.500, 0.500, 0.086) and Ag at (0.500, 0.000, 0.220).


NbZnRu2 | PBE | optimized geometry

As for the total magnetic moment: 0.000 μB/f.u. Its calculated total energy is -7.061 eV/atom. The value obtained for the formation energy is 413 meV per atom.

The space group is I-42d (No. 122) and the conventional cell measures 6.815, 6.815 and 5.687 Å, with angles of 90.00, 90.00 and 90.00 degrees. Symmetry generates all atoms from Nb at (0.000, 0.000, 0.000), Zn at (0.000, 0.000, 0.500) and Ru at (0.243, 0.250, 0.125).